VASP calculation (PBE) on a relaxed AlGa3Ni4 crystal. Values from VASP.

Values from the calculation:
symmetry = R3, No. 146
E = -0.357 Ry/atom
size of the total moment = 0.0 μB/cell
volume = 100.73 Å³ per cell

```
&SYSTEM
  ibrav = 0, nat = 8, ntyp = 3
/
ATOMIC_SPECIES
Al 26.98 Al.upf
Ga 69.72 Ga.upf
Ni 58.69 Ni.upf
ATOMIC_POSITIONS crystal
Al 0.656 0.656 0.656
Ga 0.345 0.841 0.156
Ga 0.841 0.156 0.345
Ga 0.156 0.345 0.841
Ni 0.856 0.644 0.144
Ni 0.357 0.357 0.357
Ni 0.144 0.856 0.644
Ni 0.644 0.144 0.856
CELL_PARAMETERS angstrom
3.285 1.896 2.695
-3.285 1.896 2.695
0.000 -3.793 2.695
```